Record 1
Below is a relaxed structure of MgSi2Ir, with properties calculated at the PBE-GGA level.

Cell: 3.8851 3.8851 3.8159 Å, 90.00 90.00 90.00°
Last column: nearest neighbours and their distance in Å.
Sites, in units of the cell vectors:
1 Mg 0.0000 0.0000 0.0000  8 Si 2.72, 4 Ir 2.75
2 Si 0.0000 0.5000 0.5000  4 Mg 2.72, 4 Ir 2.72, 4 Si 2.75
3 Si 0.5000 0.0000 0.5000  4 Mg 2.72, 4 Ir 2.72, 4 Si 2.75
4 Ir 0.5000 0.5000 0.0000  8 Si 2.72, 4 Mg 2.75

Properties
Total moment: 0.00 μB per formula unit
Energy: -0.397 Ry/atom
Formation energy (no corrections): -0.07 eV/atom

Record 2
Below is a relaxed structure of HoTh5Bi6, with properties calculated at the PBE-GGA level.

Cell: 7.9259 7.9259 7.9285 Å, 99.61 99.61 120.03°
Last column: nearest neighbours and their distance in Å.
Sites, in units of the cell vectors:
1 Ho 0.0000 0.0000 0.0000  6 Bi 3.16-3.18
2 Th 0.1707 0.8293 0.5000  6 Bi 3.24-3.27
3 Th 0.3349 0.6651 0.0000  6 Bi 3.24-3.25
4 Th 0.5000 0.5000 0.5000  6 Bi 3.24-3.29
5 Th 0.6651 0.3349 0.0000  6 Bi 3.24-3.25
6 Th 0.8293 0.1707 0.5000  6 Bi 3.24-3.27
7 Bi 0.0806 0.4070 0.2441  1 Ho 3.16, 5 Th 3.24-3.27
8 Bi 0.2421 0.2421 0.7502  1 Ho 3.18, 5 Th 3.25-3.29
9 Bi 0.4070 0.0806 0.2441  1 Ho 3.16, 5 Th 3.24-3.27
10 Bi 0.5930 0.9194 0.7559  1 Ho 3.16, 5 Th 3.24-3.27
11 Bi 0.7579 0.7579 0.2498  1 Ho 3.18, 5 Th 3.25-3.29
12 Bi 0.9194 0.5930 0.7559  1 Ho 3.16, 5 Th 3.24-3.27

Properties
Total moment: 0.00 μB per formula unit
Energy: -0.442 Ry/atom
E_form: -0.600 eV per atom

Record 3
Below is a relaxed structure of Sr2Pt2Au15, with properties calculated at the PBE-GGA level.

Cell: 7.3205 7.3205 7.3205 Å, 82.96 82.96 82.96°
Last column: nearest neighbours and their distance in Å.
Sites, in units of the cell vectors:
1 Sr 0.1679 0.1679 0.1679  1 Pt 3.31, 15 Au 3.41-3.65
2 Sr 0.8321 0.8321 0.8321  1 Pt 3.31, 15 Au 3.41-3.65
3 Pt 0.4019 0.4019 0.4019  1 Pt 2.78, 6 Au 2.96-3.07
4 Pt 0.5981 0.5981 0.5981  1 Pt 2.78, 6 Au 2.96-3.07
5 Au 0.0000 0.5000 0.5000  8 Au 2.78-2.82, 2 Pt 2.96
6 Au 0.1489 0.1489 0.6534  8 Au 2.81-2.98, 1 Pt 3.07
7 Au 0.1489 0.6534 0.1489  8 Au 2.81-2.98, 1 Pt 3.07
8 Au 0.2005 0.5000 0.7995  8 Au 2.78-2.98
9 Au 0.2005 0.7995 0.5000  8 Au 2.78-2.98
10 Au 0.3466 0.8511 0.8511  8 Au 2.81-2.98, 1 Pt 3.07
11 Au 0.5000 0.0000 0.5000  8 Au 2.78-2.82, 2 Pt 2.96
12 Au 0.5000 0.2005 0.7995  8 Au 2.78-2.98
13 Au 0.5000 0.5000 0.0000  8 Au 2.78-2.82, 2 Pt 2.96
14 Au 0.5000 0.7995 0.2005  8 Au 2.78-2.98
15 Au 0.6534 0.1489 0.1489  8 Au 2.81-2.98, 1 Pt 3.07
16 Au 0.7995 0.2005 0.5000  8 Au 2.78-2.98
17 Au 0.7995 0.5000 0.2005  8 Au 2.78-2.98
18 Au 0.8511 0.3466 0.8511  8 Au 2.81-2.98, 1 Pt 3.07
19 Au 0.8511 0.8511 0.3466  8 Au 2.81-2.98, 1 Pt 3.07

Properties
Total moment: 0.00 μB per formula unit
Energy: -0.267 Ry/atom
E_form: -0.232 eV per atom

Record 4
Below is a relaxed structure of AcScB2O6, with properties calculated at the PBE-GGA level.

Cell: 6.3460 6.3460 6.3460 Å, 47.12 47.12 47.12°
Last column: nearest neighbours and their distance in Å.
Sites, in units of the cell vectors:
1 Ac 0.0000 0.0000 0.0000  6 O 2.58
2 Sc 0.5000 0.5000 0.5000  6 O 2.12
3 B 0.2401 0.2401 0.2401  3 O 1.39
4 B 0.7599 0.7599 0.7599  3 O 1.39
5 O 0.0540 0.5165 0.7017  1 B 1.39
6 O 0.2983 0.9460 0.4835  1 B 1.39
7 O 0.4835 0.2983 0.9460  1 B 1.39
8 O 0.5165 0.7017 0.0540  1 B 1.39
9 O 0.7017 0.0540 0.5165  1 B 1.39
10 O 0.9460 0.4835 0.2983  1 B 1.39

Properties
Total moment: 0.00 μB per formula unit
Energy: -0.619 Ry/atom
Formation energy (no corrections): -3.07 eV/atom

Record 5
Below is a relaxed structure of Mg2InTeO6, with properties calculated at the PBE-GGA level.

Cell: 6.9029 6.9029 5.6148 Å, 95.43 95.43 86.56°
Last column: nearest neighbours and their distance in Å.
Sites, in units of the cell vectors:
1 Mg 0.0928 0.2788 0.3054  4 O 1.98-2.01
2 Mg 0.2788 0.0928 0.8054  4 O 1.98-2.01
3 Mg 0.7212 0.9072 0.1946  4 O 1.98-2.01
4 Mg 0.9072 0.7212 0.6946  4 O 1.98-2.01
5 In 0.4105 0.5895 0.7500  6 O 2.17-2.24
6 In 0.5895 0.4105 0.2500  6 O 2.17-2.24
7 Te 0.2223 0.7777 0.2500  4 O 1.99-2.05
8 Te 0.7777 0.2223 0.7500  4 O 1.99-2.05
9 O 0.0423 0.2159 0.6359  1 Te 1.99, 2 Mg 2.00-2.01
10 O 0.1383 0.6519 0.9134  1 Mg 1.98, 1 Te 2.05, 1 In 2.17
11 O 0.2159 0.0423 0.1359  1 Te 1.99, 2 Mg 2.00-2.01
12 O 0.2940 0.4800 0.3805  1 Mg 2.01, 2 In 2.23-2.24
13 O 0.3481 0.8617 0.5866  1 Mg 1.98, 1 Te 2.05, 1 In 2.17
14 O 0.4800 0.2940 0.8805  1 Mg 2.01, 2 In 2.23-2.24
15 O 0.5200 0.7060 0.1195  1 Mg 2.01, 2 In 2.23-2.24
16 O 0.6519 0.1383 0.4134  1 Mg 1.98, 1 Te 2.05, 1 In 2.17
17 O 0.7060 0.5200 0.6195  1 Mg 2.01, 2 In 2.23-2.24
18 O 0.7841 0.9577 0.8641  1 Te 1.99, 2 Mg 2.00-2.01
19 O 0.8617 0.3481 0.0866  1 Mg 1.98, 1 Te 2.05, 1 In 2.17
20 O 0.9577 0.7841 0.3641  1 Te 1.99, 2 Mg 2.00-2.01

Properties
Total moment: 0.00 μB per formula unit
Energy: -0.415 Ry/atom
Formation energy (no corrections): -1.76 eV/atom

Record 6
Below is a relaxed structure of TbSm6Dy2Er, with properties calculated at the PBE-GGA level.

Cell: 8.8749 8.8749 9.6113 Å, 93.90 93.90 117.81°
Last column: nearest neighbours and their distance in Å.
Sites, in units of the cell vectors:
1 Tb 0.0257 0.9743 0.7500  4 Dy 3.42-3.43, 4 Sm 3.58-3.67
2 Tb 0.9743 0.0257 0.2500  4 Dy 3.42-3.43, 4 Sm 3.58-3.67
3 Sm 0.0135 0.5662 0.6862  2 Sm 3.25-3.60, 1 Dy 3.44, 1 Er 3.46, 1 Tb 3.58
4 Sm 0.1198 0.7577 0.0547  7 Sm 3.43-3.77, 1 Dy 3.49, 1 Tb 3.67
5 Sm 0.2423 0.8802 0.4453  7 Sm 3.43-3.77, 1 Dy 3.49, 1 Tb 3.67
6 Sm 0.2916 0.5075 0.8808  4 Sm 3.25-3.61, 3 Dy 3.27-3.45, 2 Er 3.44-3.56
7 Sm 0.4338 0.9865 0.8138  2 Sm 3.25-3.60, 1 Dy 3.44, 1 Er 3.46, 1 Tb 3.58
8 Sm 0.4925 0.7084 0.6192  4 Sm 3.25-3.61, 3 Dy 3.27-3.45, 2 Er 3.44-3.56
9 Sm 0.5075 0.2916 0.3808  4 Sm 3.25-3.61, 3 Dy 3.27-3.45, 2 Er 3.44-3.56
10 Sm 0.5662 0.0135 0.1862  2 Sm 3.25-3.60, 1 Dy 3.44, 1 Er 3.46, 1 Tb 3.58
11 Sm 0.7084 0.4925 0.1192  4 Sm 3.25-3.61, 3 Dy 3.27-3.45, 2 Er 3.44-3.56
12 Sm 0.7577 0.1198 0.5547  7 Sm 3.43-3.77, 1 Dy 3.49, 1 Tb 3.67
13 Sm 0.8802 0.2423 0.9453  7 Sm 3.43-3.77, 1 Dy 3.49, 1 Tb 3.67
14 Sm 0.9865 0.4338 0.3138  2 Sm 3.25-3.60, 1 Dy 3.44, 1 Er 3.46, 1 Tb 3.58
15 Dy 0.2001 0.3005 0.5451  5 Sm 3.27-3.49, 2 Tb 3.42-3.43, 1 Er 3.53
16 Dy 0.3005 0.2001 0.0451  5 Sm 3.27-3.49, 2 Tb 3.42-3.43, 1 Er 3.53
17 Dy 0.6995 0.7999 0.9549  5 Sm 3.27-3.49, 2 Tb 3.42-3.43, 1 Er 3.53
18 Dy 0.7999 0.6995 0.4549  5 Sm 3.27-3.49, 2 Tb 3.42-3.43, 1 Er 3.53
19 Er 0.4097 0.5903 0.2500  6 Sm 3.44-3.56, 2 Dy 3.53
20 Er 0.5903 0.4097 0.7500  6 Sm 3.44-3.56, 2 Dy 3.53

Properties
Total moment: 0.00 μB per formula unit
Energy: -0.335 Ry/atom
E_form: 0.118 eV per atom

- total moment of number 2 (HoTh5Bi6)?
  0.00 μB per formula unit

Copy entry 1 word for word.
Below is a relaxed structure of MgSi2Ir, with properties calculated at the PBE-GGA level.

Cell: 3.8851 3.8851 3.8159 Å, 90.00 90.00 90.00°
Last column: nearest neighbours and their distance in Å.
Sites, in units of the cell vectors:
1 Mg 0.0000 0.0000 0.0000  8 Si 2.72, 4 Ir 2.75
2 Si 0.0000 0.5000 0.5000  4 Mg 2.72, 4 Ir 2.72, 4 Si 2.75
3 Si 0.5000 0.0000 0.5000  4 Mg 2.72, 4 Ir 2.72, 4 Si 2.75
4 Ir 0.5000 0.5000 0.0000  8 Si 2.72, 4 Mg 2.75

Properties
Total moment: 0.00 μB per formula unit
Energy: -0.397 Ry/atom
Formation energy (no corrections): -0.07 eV/atom